! Ac5Si2Se2 (PBE-GGA, optimized geometry); values from VASP
! space group: Cmce, No. 64
! N(E_F): 6.91 states/eV/f.u.
&SYSTEM
  ibrav = 0, nat = 18, ntyp = 3
/
ATOMIC_SPECIES
Se 78.96 Se.upf
Si 28.09 Si.upf
Ac 227.00 Ac.upf
ATOMIC_POSITIONS angstrom
Se 4.262 5.172 0.883
Se 0.000 5.950 2.396
Se 0.000 1.440 2.801
Se 4.262 2.218 4.314
Si 5.447 6.427 -3.304
Si 1.185 4.768 -2.451
Si 7.339 2.695 -1.386
Si 3.077 1.037 -0.533
Ac 0.000 0.000 0.000
Ac 1.352 1.467 5.845
Ac 2.910 7.221 -1.316
Ac 1.352 3.490 0.603
Ac 4.262 3.732 -1.918
Ac 5.614 2.191 1.270
Ac 2.910 5.199 3.927
Ac 5.614 0.168 6.513
Ac 7.172 5.923 -0.648
Ac 7.172 3.900 4.595
CELL_PARAMETERS angstrom
8.524 0.000 0.000
0.000 7.464 -3.837
0.000 -0.074 9.034

---

! Ac2SiSe (PBE-GGA, optimized geometry); values from VASP
! excess energy over the best structure of this formula in the dataset: 0.241 eV per atom
! space group: P4/mmm, No. 123
! N(E_F): 1.48 states/eV/f.u.
&SYSTEM
  ibrav = 0, nat = 4, ntyp = 3
/
ATOMIC_SPECIES
Ac 227.00 Ac.upf
Si 28.09 Si.upf
Se 78.96 Se.upf
ATOMIC_POSITIONS angstrom
Ac 0.000 0.000 6.059
Ac 0.000 0.000 1.940
Si 1.896 1.896 0.000
Se 1.896 1.896 4.000
CELL_PARAMETERS angstrom
3.792 0.000 0.000
0.000 3.792 0.000
0.000 0.000 7.999

---

! Ac2Si2Se7 (PBE-GGA, optimized geometry); values from VASP
! space group: C2/m, No. 12
&SYSTEM
  ibrav = 0, nat = 11, ntyp = 3
/
ATOMIC_SPECIES
Se 78.96 Se.upf
Si 28.09 Si.upf
Ac 227.00 Ac.upf
ATOMIC_POSITIONS angstrom
Se 3.807 6.108 4.061
Se 4.141 2.354 2.691
Se 3.142 -0.089 -0.102
Se 3.807 3.212 6.594
Se 1.222 3.056 0.572
Se 0.888 3.914 4.475
Se 1.222 0.160 3.105
Si 2.629 4.869 5.566
Si 2.400 1.399 1.600
Ac -0.628 5.111 2.034
Ac -0.628 1.336 5.336
CELL_PARAMETERS angstrom
6.284 -0.179 -0.204
-0.628 7.616 -0.158
-0.628 -1.169 7.527

---

! Ac8Si3Te4Se (PBE-GGA, optimized geometry); values from VASP
! space group: R-3m, No. 166
! N(E_F): 4.47 states/eV/f.u.
&SYSTEM
  ibrav = 0, nat = 16, ntyp = 4
/
ATOMIC_SPECIES
Te 127.60 Te.upf
Ac 227.00 Ac.upf
Si 28.09 Si.upf
Se 78.96 Se.upf
ATOMIC_POSITIONS angstrom
Te 0.000 0.000 0.000
Te 4.627 0.000 0.000
Te 2.314 -2.311 3.274
Te -2.314 -2.311 3.274
Ac 4.627 0.239 3.363
Ac -2.259 2.287 6.481
Ac 0.000 4.545 3.285
Ac 2.259 2.287 6.481
Ac 2.368 2.497 0.166
Ac 4.627 4.577 3.231
Ac 6.887 2.497 0.166
Ac 0.000 0.207 3.416
Si -2.314 2.392 3.324
Si 2.314 2.392 3.324
Si 4.627 4.703 0.050
Se 0.000 4.703 0.050
CELL_PARAMETERS angstrom
9.254 0.000 0.000
0.000 9.406 0.100
-4.627 -4.622 6.547

---

! Ac4SiTe2Se (PBE-GGA, optimized geometry); values from VASP
! space group: P2/m, No. 10
! N(E_F): 3.43 states/eV/f.u.
&SYSTEM
  ibrav = 0, nat = 8, ntyp = 4
/
ATOMIC_SPECIES
Ac 227.00 Ac.upf
Te 127.60 Te.upf
Si 28.09 Si.upf
Se 78.96 Se.upf
ATOMIC_POSITIONS angstrom
Ac 4.609 2.951 1.798
Ac 2.305 6.663 1.808
Ac 0.000 8.042 5.406
Ac 2.305 4.330 5.395
Te 0.000 2.809 7.438
Te 2.305 1.405 3.719
Si 0.000 5.496 3.602
Se 2.305 4.092 -0.117
CELL_PARAMETERS angstrom
4.609 0.000 0.000
0.000 8.184 -0.234
0.000 2.809 7.438

---

! Ac6Si2TeSe3 (PBE-GGA, optimized geometry); values from VASP
! space group: C2/m, No. 12
! N(E_F): 4.25 states/eV/f.u.
&SYSTEM
  ibrav = 0, nat = 12, ntyp = 4
/
ATOMIC_SPECIES
Ac 227.00 Ac.upf
Se 78.96 Se.upf
Si 28.09 Si.upf
Te 127.60 Te.upf
ATOMIC_POSITIONS angstrom
Ac -8.697 0.409 3.373
Ac -1.627 3.056 2.109
Ac -2.270 -0.462 -0.684
Ac -8.053 3.928 6.166
Ac -5.640 2.148 0.649
Ac -4.684 1.318 4.833
Se -7.610 -0.526 0.521
Se -2.714 3.991 4.961
Se -4.431 1.199 -2.271
Si -6.963 3.025 3.402
Si -3.361 0.441 2.080
Te -0.201 2.140 -0.778
CELL_PARAMETERS angstrom
-0.402 4.279 -1.557
-8.459 -1.881 -2.985
-1.462 1.068 10.024

---

The uncorrected energy results, record by record, are as follows: -5.29; -5.30; -4.93; -5.36; -5.39; -5.52 eV per atom.